1.
# TeRh2Br (PBE, optimized geometry)
# M_tot   0.000 Bohr magnetons per cell
# E_form (uncorrected)   0.730 eV/f.u.
# Excess energy over the best structure of this formula in the dataset   0.2890 eV/atom
# ρ   8.994 Mg/m³
# Total energy   -4.697 eV per atom
data_TeRh2Br
_chemical_formula_sum 'Te1 Rh2 Br1'
_cell_length_a 3.3343
_cell_length_b 3.3343
_cell_length_c 6.8639
_cell_angle_alpha 90.00
_cell_angle_beta 90.00
_cell_angle_gamma 90.00
_symmetry_space_group_name_H-M 'P 4/m m m'
_symmetry_Int_Tables_number 123
_symmetry_space_group_name_Hall '-P 4 2'
loop_
_atom_site_label
_atom_site_fract_x
_atom_site_fract_y
_atom_site_fract_z
Te1 0.0000 0.0000 0.0000
Rh1 0.5000 0.5000 0.2074
Br1 0.0000 0.0000 0.5000

---

2.
# CaHoMg2Ag4 (PBE, optimized geometry)
# M_tot   0.000 Bohr magnetons per cell
# E_form   -0.28 eV per atom
# ρ   6.551 Mg/m³
# Total energy   -2.923 eV per atom
data_CaHoMg2Ag4
_chemical_formula_sum 'Ca3 Ho3 Mg6 Ag12'
_cell_length_a 4.9778
_cell_length_b 4.9778
_cell_length_c 24.2766
_cell_angle_alpha 90.00
_cell_angle_beta 90.00
_cell_angle_gamma 120.00
_symmetry_space_group_name_H-M 'R -3 m'
_symmetry_Int_Tables_number 166
_symmetry_space_group_name_Hall '-R 3 2"'
loop_
_atom_site_label
_atom_site_fract_x
_atom_site_fract_y
_atom_site_fract_z
Ca1 0.0000 0.0000 0.0000
Ho1 0.0000 0.0000 0.5000
Mg1 0.0000 0.0000 0.2495
Ag1 0.0000 0.0000 0.1268
Ag2 0.0000 0.0000 0.3763

---

3.
# Pm2GaS5 (PBE, optimized geometry)
# M_tot   0.000 Bohr magnetons per cell
# E_form (uncorrected)   -10.258 eV/f.u.
# ρ   4.716 Mg/m³
# Total energy   -5.428 eV per atom
data_Pm2GaS5
_chemical_formula_sum 'Pm2 Ga1 S5'
_cell_length_a 5.5615
_cell_length_b 5.9530
_cell_length_c 5.9808
_cell_angle_alpha 73.66
_cell_angle_beta 77.86
_cell_angle_gamma 77.47
_symmetry_space_group_name_H-M 'P 1'
_symmetry_Int_Tables_number 1
_symmetry_space_group_name_Hall 'P 1'
loop_
_atom_site_label
_atom_site_fract_x
_atom_site_fract_y
_atom_site_fract_z
Pm1 0.0000 0.0000 0.0000
Pm2 0.2711 0.5091 0.5229
Ga1 0.6988 0.6788 0.8333
S1 0.0965 0.4830 0.0198
S2 0.3500 0.9972 0.5838
S3 0.5062 0.8398 0.1324
S4 0.7409 0.3746 0.6767
S5 0.9135 0.9387 0.5146

---

4.
# Nd8GaCo3Cl4 (PBE, optimized geometry)
# M_tot   0.003 Bohr magnetons per cell
# E_form (uncorrected)   -13.257 eV/f.u.
# ρ   6.022 Mg/m³
# Total energy   -5.196 eV per atom
data_Nd8GaCo3Cl4
_chemical_formula_sum 'Nd24 Ga3 Co9 Cl12'
_cell_length_a 8.1095
_cell_length_b 8.1095
_cell_length_c 22.4003
_cell_angle_alpha 90.00
_cell_angle_beta 90.00
_cell_angle_gamma 120.00
_symmetry_space_group_name_H-M 'R -3 m'
_symmetry_Int_Tables_number 166
_symmetry_space_group_name_Hall '-R 3 2"'
loop_
_atom_site_label
_atom_site_fract_x
_atom_site_fract_y
_atom_site_fract_z
Nd1 0.0000 0.0000 0.2354
Nd2 0.0181 0.5091 0.7644
Ga1 0.0000 0.0000 0.5000
Co1 0.0000 0.5000 0.5000
Cl1 0.0000 0.0000 0.0000
Cl2 0.0000 0.5000 0.0000

---

5.
# NaZnPb2 (PBE, optimized geometry)
# M_tot   0.000 Bohr magnetons per cell
# E_form   -0.02 eV per atom
# ρ   7.871 Mg/m³
# Total energy   -2.521 eV per atom
data_NaZnPb2
_chemical_formula_sum 'Na1 Zn1 Pb2'
_cell_length_a 3.7547
_cell_length_b 3.7547
_cell_length_c 7.5240
_cell_angle_alpha 90.00
_cell_angle_beta 90.00
_cell_angle_gamma 90.00
_symmetry_space_group_name_H-M 'P 4/m m m'
_symmetry_Int_Tables_number 123
_symmetry_space_group_name_Hall '-P 4 2'
loop_
_atom_site_label
_atom_site_fract_x
_atom_site_fract_y
_atom_site_fract_z
Na1 0.0000 0.0000 0.0000
Zn1 0.0000 0.0000 0.5000
Pb1 0.5000 0.5000 0.2832

---

6.
# AlMoRhW2 (PBE, optimized geometry)
# M_tot   0.008 Bohr magnetons per cell
# E_form   1.54 eV per atom
# ρ   10.173 Mg/m³
# Total energy   -8.024 eV per atom
data_AlMoRhW2
_chemical_formula_sum 'Al1 Mo1 Rh1 W2'
_cell_length_a 4.7232
_cell_length_b 4.7232
_cell_length_c 4.3425
_cell_angle_alpha 90.00
_cell_angle_beta 90.00
_cell_angle_gamma 90.00
_symmetry_space_group_name_H-M 'P 4/m m m'
_symmetry_Int_Tables_number 123
_symmetry_space_group_name_Hall '-P 4 2'
loop_
_atom_site_label
_atom_site_fract_x
_atom_site_fract_y
_atom_site_fract_z
Al1 0.0000 0.0000 0.0000
Mo1 0.5000 0.5000 0.0000
Rh1 0.0000 0.0000 0.5000
W1 0.0000 0.5000 0.5000